# NaLi3Ge

A PBEsol-optimized structure of NaLi3Ge (meta-GGA SCAN, Alexandria).

Summary:
Its volume is 23.56 A^3/atom. As for the space group: Pm-3m (221). The total energy is -31.188 eV for the cell shown.

a = 4.9024 Å, b = 4.9024 Å, c = 4.9024 Å
α = 90.00°, β = 90.00°, γ = 90.00°
Closest atoms and distances in Å follow each position.
Element x y z (fractional)
Na (0.0000, 0.0000, 0.0000)  12 Li 3.47
Li (0.0000, 0.5000, 0.5000)  2 Ge 2.45
Li (0.5000, 0.0000, 0.5000)  2 Ge 2.45
Li (0.5000, 0.5000, 0.0000)  2 Ge 2.45
Ge (0.5000, 0.5000, 0.5000)  6 Li 2.45

***

# NaLi2Ge2

A PBEsol-optimized structure of NaLi2Ge2 (meta-GGA SCAN, Alexandria).

Summary:
Its volume is 17.87 A^3/atom. As for the space group: P4/mbm (127). The total energy is -96.670 eV for the cell shown. For the distance to the lowest polymorph of the same formula, the calculation gives 0.0 meV/atom.

a = 7.7435 Å, b = 7.7435 Å, c = 2.9800 Å
α = 90.00°, β = 90.00°, γ = 90.00°
Closest atoms and distances in Å follow each position.
Element x y z (fractional)
Na (0.0000, 0.0000, 0.0000)  2 Na 2.98, 4 Ge 3.11, 8 Li 3.21
Na (0.5000, 0.5000, 0.0000)  2 Na 2.98, 4 Ge 3.11, 8 Li 3.21
Li (0.1807, 0.3193, 0.5000)  6 Ge 2.69-2.78, 2 Li 2.98
Li (0.3193, 0.8193, 0.5000)  6 Ge 2.69-2.78, 2 Li 2.98
Li (0.6807, 0.1807, 0.5000)  6 Ge 2.69-2.78, 2 Li 2.98
Li (0.8193, 0.6807, 0.5000)  6 Ge 2.69-2.78, 2 Li 2.98
Ge (0.1147, 0.6147, 0.0000)  1 Ge 2.51, 6 Li 2.69-2.78
Ge (0.3853, 0.1147, 0.0000)  1 Ge 2.51, 6 Li 2.69-2.78
Ge (0.6147, 0.8853, 0.0000)  1 Ge 2.51, 6 Li 2.69-2.78
Ge (0.8853, 0.3853, 0.0000)  1 Ge 2.51, 6 Li 2.69-2.78

***

Let's list DFT formation energy in order: -143.1, -233.0 meV/atom.
Let's list Fermi-level density of states in order: 0.165, 0.246 states/eV/atom.